1.
{"formula": "CsAl2CoAu", "functional": "PBE", "state": "optimized geometry", "delta_e_f_mev_per_atom": 825, "sg": "No. 123", "cell": [[4.9160, 0.0000, 0.0000], [0.0000, 4.9160, 0.0000], [0.0000, 0.0000, 6.6588]], "species": ["Cs", "Al", "Al", "Co", "Au"], "fractional_positions": [[0.0000, 0.0000, 0.0000], [0.0000, 0.5000, 0.5000], [0.5000, 0.0000, 0.5000], [0.5000, 0.5000, 0.0000], [0.0000, 0.0000, 0.5000]]}

=====

2.
{"formula": "Th6CBr14", "functional": "PBE", "state": "optimized geometry", "raw_formation_energy_ev_per_atom": -1.535, "sg": "No. 64", "cell": [[8.1268, -7.3148, 0.0000], [8.1268, 7.3148, 0.0000], [0.0000, 0.0000, 13.2968]], "species": ["Th", "Th", "Th", "Th", "Th", "Th", "Th", "Th", "Th", "Th", "Th", "Th", "C", "C", "Br", "Br", "Br", "Br", "Br", "Br", "Br", "Br", "Br", "Br", "Br", "Br", "Br", "Br", "Br", "Br", "Br", "Br", "Br", "Br", "Br", "Br", "Br", "Br", "Br", "Br", "Br", "Br"], "fractional_positions": [[0.0455, 0.1848, 0.8826], [0.1467, 0.8533, 0.8945], [0.1848, 0.0455, 0.1174], [0.3152, 0.4545, 0.6174], [0.3533, 0.6467, 0.3945], [0.4545, 0.3152, 0.3826], [0.5455, 0.6848, 0.6174], [0.6467, 0.3533, 0.6055], [0.6848, 0.5455, 0.3826], [0.8152, 0.9545, 0.8826], [0.8533, 0.1467, 0.1055], [0.9545, 0.8152, 0.1174], [0.0000, 0.0000, 0.0000], [0.5000, 0.5000, 0.5000], [0.0355, 0.2134, 0.2500], [0.1029, 0.3971, 0.7500], [0.1184, 0.6313, 0.0102], [0.1313, 0.6184, 0.5102], [0.1589, 0.8411, 0.2643], [0.2134, 0.0355, 0.7500], [0.2480, 0.2480, 0.5000], [0.2520, 0.2520, 0.0000], [0.2866, 0.4645, 0.2500], [0.3411, 0.6589, 0.7643], [0.3687, 0.8816, 0.0102], [0.3816, 0.8687, 0.5102], [0.3971, 0.1029, 0.2500], [0.4645, 0.2866, 0.7500], [0.5355, 0.7134, 0.2500], [0.6029, 0.8971, 0.7500], [0.6184, 0.1313, 0.4898], [0.6313, 0.1184, 0.9898], [0.6589, 0.3411, 0.2357], [0.7134, 0.5355, 0.7500], [0.7480, 0.7480, 0.0000], [0.7520, 0.7520, 0.5000], [0.7866, 0.9645, 0.2500], [0.8411, 0.1589, 0.7357], [0.8687, 0.3816, 0.4898], [0.8816, 0.3687, 0.9898], [0.8971, 0.6029, 0.2500], [0.9645, 0.7866, 0.7500]]}